1.
Density functional theory data (PBE-GGA) for a relaxed structure of Nd2SiS5.

Computed properties:
The crystal system is monoclinic. Its energy above the most stable polymorph in this dataset is 0 meV/atom. The calculation puts the magnetic moment at 0.00 Bohr magnetons per cell.

The structure in extended XYZ format:
```
32
Lattice="12.522 0.000 0.000 0.000 7.578 -0.004 0.000 1.526 7.681" Properties=species:S:1:pos:R:3 pbc="T T T"
S 6.312 4.820 2.163
S 12.157 2.254 4.717
S 11.003 8.061 7.635
S 3.712 6.902 1.499
S 4.742 1.806 3.882
S 9.126 5.444 7.289
S 2.549 7.665 5.339
S 1.519 1.043 0.042
S 0.051 3.521 1.673
S 6.210 4.284 5.514
S 2.865 4.423 4.229
S 6.625 1.491 0.876
S 8.810 2.202 6.178
S 5.897 7.613 6.801
S 7.780 7.298 3.795
S 9.973 1.439 2.338
S 12.471 5.583 6.003
S 3.396 3.660 0.388
S 0.364 6.849 2.960
S 9.657 4.681 3.448
Si 4.802 5.202 0.731
Si 1.458 5.965 4.571
Si 11.063 3.139 3.105
Si 7.719 3.902 6.946
Nd 1.180 5.832 0.324
Nd 2.056 1.784 2.847
Nd 7.441 2.509 3.512
Nd 10.466 7.320 4.830
Nd 4.205 2.547 6.687
Nd 11.342 3.272 7.353
Nd 5.081 6.595 4.165
Nd 8.317 6.557 0.989
```

=====

2.
Density functional theory data (PBE-GGA) for a relaxed structure of Nd8SiS6.

Computed properties:
The crystal system is trigonal. The calculation puts the magnetic moment at 0.00 Bohr magnetons per cell. The total energy comes out at -6.0411 eV/atom.

The structure in extended XYZ format:
```
15
Lattice="4.122 0.000 0.000 0.000 9.040 -5.219 0.000 0.000 10.438" Properties=species:S:1:pos:R:3 pbc="T T T"
Nd 1.035 6.026 0.000
Nd 3.072 2.939 -1.356
Nd 1.050 0.295 7.215
Nd 1.050 6.101 6.575
Nd 3.072 6.396 3.352
Nd 3.088 3.013 5.219
Nd 3.072 8.744 -1.996
Nd 1.050 2.644 1.867
Si 2.061 0.000 0.000
S 3.094 4.360 1.124
S 1.028 4.680 4.095
S 1.028 1.207 4.338
S 1.028 3.153 7.224
S 3.094 5.886 -2.005
S 3.094 7.833 0.881
```